[1]
# SrTlTePb2 PBE relaxed
# * uncorrected energy: -2.818 eV/atom
# * uncorrected formation energy: 103 meV/atom
data_SrTlTePb2
_chemical_formula_sum 'Sr1 Tl1 Te1 Pb2'
_space_group_name_H-M_alt 'P 1'
_space_group_IT_number 1
_cell_length_a 6.100
_cell_length_b 6.100
_cell_length_c 5.877
_cell_angle_alpha 90.00
_cell_angle_beta 90.00
_cell_angle_gamma 90.00
loop_
_space_group_symop_operation_xyz
'x,y,z'
loop_
_atom_site_label
_atom_site_fract_x
_atom_site_fract_y
_atom_site_fract_z
Sr1 0.000 0.000 0.000
Tl1 0.500 0.500 0.000
Te1 0.500 0.500 0.500
Pb1 0.000 0.500 0.500
Pb2 0.500 0.000 0.500

***

[2]
# Sr2ZnTePb PBE relaxed
# * uncorrected energy: -2.613 eV/atom
# * uncorrected formation energy: -316 meV/atom
data_Sr2ZnTePb
_chemical_formula_sum 'Sr2 Zn1 Te1 Pb1'
_space_group_name_H-M_alt 'P 1'
_space_group_IT_number 1
_cell_length_a 6.249
_cell_length_b 6.249
_cell_length_c 5.179
_cell_angle_alpha 90.00
_cell_angle_beta 90.00
_cell_angle_gamma 90.00
loop_
_space_group_symop_operation_xyz
'x,y,z'
loop_
_atom_site_label
_atom_site_fract_x
_atom_site_fract_y
_atom_site_fract_z
Sr1 0.000 0.500 0.000
Sr2 0.500 0.000 0.000
Zn1 0.000 0.000 0.500
Te1 0.000 0.000 0.000
Pb1 0.500 0.500 0.500

***

[3]
# Sr5ThPb6 PBE relaxed
# * uncorrected energy: -3.629 eV/atom
# * formation energy: -0.455 eV/atom
data_Sr5ThPb6
_chemical_formula_sum 'Sr5 Th1 Pb6'
_space_group_name_H-M_alt 'P 1'
_space_group_IT_number 1
_cell_length_a 9.739
_cell_length_b 9.739
_cell_length_c 6.034
_cell_angle_alpha 97.48
_cell_angle_beta 97.48
_cell_angle_gamma 46.08
loop_
_space_group_symop_operation_xyz
'x,y,z'
loop_
_atom_site_label
_atom_site_fract_x
_atom_site_fract_y
_atom_site_fract_z
Sr1 0.000 0.000 0.000
Sr2 0.166 0.166 0.680
Sr3 0.322 0.322 0.307
Sr4 0.678 0.678 0.693
Sr5 0.834 0.834 0.320
Th1 0.500 0.500 0.000
Pb1 0.106 0.579 0.816
Pb2 0.274 0.726 0.500
Pb3 0.421 0.894 0.184
Pb4 0.579 0.106 0.816
Pb5 0.726 0.274 0.500
Pb6 0.894 0.421 0.184

***

[4]
# Sr3ThPb12 PBE relaxed
# * uncorrected energy: -3.879 eV/atom
# * formation energy: -0.318 eV/atom
data_Sr3ThPb12
_chemical_formula_sum 'Sr3 Th1 Pb12'
_space_group_name_H-M_alt 'P 1'
_space_group_IT_number 1
_cell_length_a 4.979
_cell_length_b 4.979
_cell_length_c 20.124
_cell_angle_alpha 90.00
_cell_angle_beta 90.00
_cell_angle_gamma 90.00
loop_
_space_group_symop_operation_xyz
'x,y,z'
loop_
_atom_site_label
_atom_site_fract_x
_atom_site_fract_y
_atom_site_fract_z
Sr1 0.000 0.000 0.000
Sr2 0.000 0.000 0.255
Sr3 0.000 0.000 0.745
Th1 0.000 0.000 0.500
Pb1 0.000 0.500 0.126
Pb2 0.000 0.500 0.378
Pb3 0.000 0.500 0.622
Pb4 0.000 0.500 0.874
Pb5 0.500 0.000 0.126
Pb6 0.500 0.000 0.378
Pb7 0.500 0.000 0.622
Pb8 0.500 0.000 0.874
Pb9 0.500 0.500 0.000
Pb10 0.500 0.500 0.252
Pb11 0.500 0.500 0.500
Pb12 0.500 0.500 0.748

***

no.,D(E_F) (states/eV per atom)
1,0.657
2,0.317
3,0.577
4,0.598